[1]
Material: NaSnSb2O8
Method: DFT, PBE-GGA
State: relaxed

a = 5.678 Å, b = 5.678 Å, c = 6.975 Å
α = 90.00°, β = 90.00°, γ = 120.00°
Atoms (fractional coordinates):
Na 0.000 0.000 0.000
Sn 0.000 0.000 0.500
Sb 0.333 0.667 0.438
Sb 0.667 0.333 0.562
O 0.064 0.364 0.626
O 0.301 0.936 0.626
O 0.333 0.667 0.161
O 0.364 0.301 0.374
O 0.636 0.699 0.626
O 0.667 0.333 0.839
O 0.699 0.064 0.374
O 0.936 0.636 0.374

Summary:
energy relative to the elements, uncorrected = -0.993 eV/atom
space-group type = No. 147

[2]
Material: Zn2HBr
Method: DFT, PBE-GGA
State: relaxed

a = 7.294 Å, b = 7.294 Å, c = 7.294 Å
α = 141.75°, β = 141.75°, γ = 55.20°
Atoms (fractional coordinates):
Zn 0.375 0.205 0.330
Zn 0.795 0.125 0.170
Zn 0.875 0.045 0.670
Zn 0.955 0.625 0.830
H 0.000 0.000 0.000
H 0.750 0.250 0.500
Br 0.250 0.750 0.500
Br 0.500 0.500 0.000

Summary:
total energy = -1.850 eV per atom
space-group type = No. 122